1.
The following is a DFT calculation (PBE) of a geometry-optimized Nd3HoHg2 structure.

```
Nd3HoHg2
1.0
5.291 0.000 0.000
0.000 7.066 0.000
0.000 0.000 9.588
Nd Hg Ho
6 4 2
Cartesian
0.000 5.799 6.419 Nd
2.645 4.781 1.698 Nd
2.645 1.248 7.890 Nd
0.000 2.266 3.169 Nd
0.000 6.974 0.500 Nd
0.000 3.441 9.088 Nd
2.645 1.613 1.468 Hg
0.000 5.464 3.364 Hg
2.645 5.146 8.120 Hg
0.000 1.932 6.224 Hg
2.645 0.099 4.293 Ho
2.645 3.632 5.295 Ho
```

Properties
Total DFT energy (no corrections) = -21.45 eV/f.u.
Total magnetization = 0.00 μB/f.u.
Volume = 29.87 Å³ per atom
ΔE_f = -1.97 eV per formula unit
Polymorph energy (0 for the lowest one) = 0 meV per atom
Mass density = 9.3 g/cm³

2.
The following is a DFT calculation (PBE) of a geometry-optimized Pm2MgAg structure.

```
Pm2MgAg
1.0
3.827 0.000 0.000
0.000 3.827 0.000
0.000 0.000 7.420
Pm Mg Ag
2 1 1
Cartesian
0.000 0.000 5.619 Pm
0.000 0.000 1.801 Pm
1.914 1.914 3.710 Mg
1.914 1.914 0.000 Ag
```

Properties
Total DFT energy (no corrections) = -14.69 eV/f.u.
Total magnetization = 0.00 μB/f.u.
Volume = 27.17 Å³ per atom
ΔE_f = -0.74 eV per formula unit
Polymorph energy (0 for the lowest one) = 0 meV per atom
Mass density = 6.5 g/cm³

3.
The following is a DFT calculation (PBE) of a geometry-optimized AlSiS structure.

```
AlSiS
1.0
4.343 0.000 0.391
0.000 5.018 0.000
1.197 -2.509 6.302
S Si Al
2 2 2
Cartesian
1.404 2.509 1.808 S
4.136 0.000 4.885 S
2.020 0.000 1.377 Si
3.519 2.509 5.316 Si
1.411 2.509 4.067 Al
4.129 0.000 2.626 Al
```

Properties
Total DFT energy (no corrections) = -13.53 eV/f.u.
Total magnetization = 0.00 μB/f.u.
Volume = 22.50 Å³ per atom
Formation energy (no corrections) = -0.078 eV/atom
Mass density = 2.1 g/cm³

4.
The following is a DFT calculation (PBE) of a geometry-optimized CeErMgHg structure.

```
CeErMgHg
1.0
5.342 0.000 0.000
2.671 4.626 0.000
2.671 1.542 4.361
Er Hg Mg Ce
1 1 1 1
Cartesian
2.671 1.542 1.090 Er
5.342 3.084 2.181 Hg
0.000 0.000 0.000 Mg
8.012 4.626 3.271 Ce
```

Properties
Total DFT energy (no corrections) = -13.02 eV/f.u.
Total magnetization = 1.58 μB/f.u.
Volume = 26.94 Å³ per atom
ΔE_f = -0.63 eV per formula unit
Mass density = 8.2 g/cm³

5.
The following is a DFT calculation (PBE) of a geometry-optimized La5MgTl3 structure.

```
La5MgTl3
1.0
-4.506 -5.179 -0.666
7.052 -6.442 2.379
-5.612 3.978 7.043
La Tl Mg
10 6 2
Cartesian
-5.017 1.463 4.717 La
3.763 -5.761 1.483 La
-2.381 -5.593 6.034 La
-3.644 -2.085 5.155 La
-0.685 -2.051 2.722 La
-1.390 0.504 5.488 La
0.578 -5.558 3.601 La
-1.217 -5.860 0.230 La
1.952 -9.106 4.039 La
2.831 -2.969 3.934 La
3.932 -6.324 4.713 Tl
1.379 -3.583 0.679 Tl
1.167 -8.038 1.034 Tl
-0.198 -2.884 5.909 Tl
-2.868 -4.760 2.847 Tl
-6.998 -1.320 4.042 Tl
0.000 0.000 0.000 Mg
-2.253 -2.590 -0.333 Mg
```

Properties
Total DFT energy (no corrections) = -36.14 eV/f.u.
Total magnetization = 0.00 μB/f.u.
Volume = 32.16 Å³ per atom
ΔE_f = -2.81 eV per formula unit
Mass density = 7.6 g/cm³

6.
The following is a DFT calculation (PBE) of a geometry-optimized AgIrIO2 structure.

```
AgIrIO2
1.0
-2.005 2.933 -1.417
-1.488 0.656 3.463
6.401 5.226 1.759
I O Ag Ir
1 2 1 1
Cartesian
3.200 2.613 0.879 I
-0.744 0.328 1.731 O
-1.003 1.467 -0.709 O
1.454 4.408 1.902 Ag
0.000 0.000 0.000 Ir
```

Properties
Total DFT energy (no corrections) = -24.15 eV/f.u.
Total magnetization = 0.50 μB/f.u.
Volume = 24.73 Å³ per atom
Formation energy (no corrections) = -0.194 eV/atom
Polymorph energy (0 for the lowest one) = 0 meV per atom
Mass density = 6.2 g/cm³

7.
The following is a DFT calculation (PBE) of a geometry-optimized Ba4Pb3O10 structure.

```
Ba4Pb3O10
1.0
-3.595 -2.203 1.160
1.453 -0.202 4.120
-6.045 14.479 0.520
O Ba Pb
10 4 3
Cartesian
-3.040 5.631 1.363 O
-5.176 6.420 4.473 O
-6.931 8.438 2.870 O
0.708 -0.112 2.079 O
-7.855 13.363 1.118 O
-1.015 1.868 0.469 O
-1.288 3.611 2.967 O
-4.407 9.439 4.350 O
-7.188 10.188 5.371 O
-3.808 2.609 1.487 O
-2.078 0.632 3.095 Ba
-4.245 7.881 1.896 Ba
-3.972 4.169 3.940 Ba
-6.143 11.418 2.736 Ba
-2.034 3.754 0.916 Pb
-0.015 -0.012 0.018 Pb
-6.183 8.296 4.920 Pb
```

Properties
Total DFT energy (no corrections) = -98.84 eV/f.u.
Total magnetization = 0.00 μB/f.u.
Volume = 17.31 Å³ per atom
Formation energy (no corrections) = -1.791 eV/atom
Mass density = 7.5 g/cm³

8.
The following is a DFT calculation (PBE) of a geometry-optimized Mg2CdCl structure.

```
Mg2CdCl
1.0
-0.873 3.052 1.075
-0.334 -1.216 3.181
7.508 1.651 1.411
Mg Cd Cl
2 1 1
Cartesian
3.379 -0.114 3.070 Mg
-0.126 -0.884 2.407 Mg
1.357 1.635 1.685 Cd
4.944 1.852 3.982 Cl
```

Properties
Total DFT energy (no corrections) = -8.23 eV/f.u.
Total magnetization = 0.00 μB/f.u.
Volume = 22.41 Å³ per atom
Formation energy (no corrections) = -0.570 eV/atom
Polymorph energy (0 for the lowest one) = 0 meV per atom
Mass density = 3.6 g/cm³

9.
The following is a DFT calculation (PBE) of a geometry-optimized HfScN2F structure.

```
HfScN2F
1.0
4.160 0.000 0.000
0.000 4.160 0.000
0.000 0.000 3.725
F N Hf Sc
1 2 1 1
Cartesian
0.000 0.000 1.863 F
2.080 0.000 0.000 N
0.000 2.080 0.000 N
2.080 2.080 1.863 Hf
0.000 0.000 0.000 Sc
```

Properties
Total DFT energy (no corrections) = -39.68 eV/f.u.
Total magnetization = 0.00 μB/f.u.
Volume = 12.90 Å³ per atom
Formation energy (no corrections) = -0.975 eV/atom
Polymorph energy (0 for the lowest one) = 396 meV per atom
Mass density = 7.0 g/cm³

10.
The following is a DFT calculation (PBE) of a geometry-optimized Nd3OsO7 structure.

```
Nd3OsO7
1.0
-2.676 -4.979 -3.577
6.611 0.093 -1.016
0.974 -4.760 5.899
O Nd Os
14 6 2
Cartesian
2.538 -6.853 -1.331 O
3.962 -5.323 2.476 O
2.400 -2.846 2.501 O
3.422 -2.972 -0.488 O
-0.404 -1.663 -0.943 O
4.891 -5.923 -0.305 O
1.486 -6.675 1.794 O
5.230 -7.961 2.370 O
2.069 -4.654 -3.855 O
2.793 -4.854 5.190 O
0.118 -3.832 1.595 O
-1.848 -5.850 -1.941 O
0.947 -4.323 -1.170 O
6.756 -3.797 3.246 O
5.418 -3.788 -1.424 Nd
2.071 -2.572 -2.418 Nd
3.306 -1.128 0.967 Nd
1.592 -8.468 0.277 Nd
2.351 -4.694 0.774 Nd
-0.499 -5.909 2.792 Nd
0.490 -2.384 2.946 Os
3.932 -4.882 -4.589 Os
```

Properties
Total DFT energy (no corrections) = -89.31 eV/f.u.
Total magnetization = 2.95 μB/f.u.
Volume = 14.70 Å³ per atom
Formation energy (no corrections) = -2.643 eV/atom
Polymorph energy (0 for the lowest one) = 5 meV per atom
Mass density = 7.5 g/cm³

11.
The following is a DFT calculation (PBE) of a geometry-optimized LiFePd2 structure.

```
LiFePd2
1.0
2.871 0.000 0.000
0.000 2.871 0.000
0.000 0.000 6.658
Fe Pd Li
1 2 1
Cartesian
1.435 1.435 0.000 Fe
0.000 0.000 1.693 Pd
0.000 0.000 4.965 Pd
1.435 1.435 3.329 Li
```

Properties
Total DFT energy (no corrections) = -21.68 eV/f.u.
Total magnetization = 3.61 μB/f.u.
Volume = 13.72 Å³ per atom
ΔE_f = -0.91 eV per formula unit
Mass density = 8.3 g/cm³

12.
The following is a DFT calculation (PBE) of a geometry-optimized Cs2BiH2 structure.

```
Cs2BiH2
1.0
8.335 0.000 0.000
0.000 8.335 0.000
0.000 0.000 4.364
Cs Bi H
4 2 4
Cartesian
1.277 5.445 2.182 Cs
5.445 7.057 2.182 Cs
7.057 2.890 2.182 Cs
2.890 1.277 2.182 Cs
4.167 4.167 0.000 Bi
0.000 0.000 0.000 Bi
5.639 1.471 0.000 H
2.696 6.863 0.000 H
1.471 2.696 0.000 H
6.863 5.639 0.000 H
```

Properties
Total DFT energy (no corrections) = -11.32 eV/f.u.
Total magnetization = 0.00 μB/f.u.
Volume = 30.32 Å³ per atom
Polymorph energy (0 for the lowest one) = 281 meV per atom
Mass density = 5.2 g/cm³

13.
The following is a DFT calculation (PBE) of a geometry-optimized CePm5N6 structure.

```
CePm5N6
1.0
6.166 0.149 0.936
1.514 5.228 3.047
0.104 0.056 6.235
N Pm Ce
6 5 1
Cartesian
2.971 4.876 7.248 N
5.807 4.076 3.018 N
4.813 0.557 2.971 N
1.873 1.301 0.966 N
2.445 3.166 4.059 N
5.339 2.267 6.160 N
3.404 0.982 5.136 Pm
3.840 2.689 1.992 Pm
1.078 3.522 6.189 Pm
0.539 1.762 3.094 Pm
4.380 4.451 5.083 Pm
0.000 0.000 0.000 Ce
```

Properties
Total DFT energy (no corrections) = -97.30 eV/f.u.
Total magnetization = 0.00 μB/f.u.
Volume = 16.51 Å³ per atom
Formation energy (no corrections) = -1.472 eV/atom
Mass density = 8.0 g/cm³

14.
The following is a DFT calculation (PBE) of a geometry-optimized HfInSnPb2 structure.

```
HfInSnPb2
1.0
-2.232 -2.946 -4.234
-0.897 -4.290 3.458
-5.079 2.063 1.242
Pb In Hf Sn
2 1 1 1
Cartesian
-2.539 1.031 0.621 Pb
-1.116 -1.473 -2.117 Pb
-0.449 -2.145 1.729 In
0.000 0.000 0.000 Hf
-4.104 -2.587 0.233 Sn
```

Properties
Total DFT energy (no corrections) = -21.57 eV/f.u.
Total magnetization = 0.00 μB/f.u.
Volume = 35.27 Å³ per atom
ΔE_f = 2.54 eV per formula unit
Polymorph energy (0 for the lowest one) = 0 meV per atom
Mass density = 7.8 g/cm³

15.
The following is a DFT calculation (PBE) of a geometry-optimized Ho2TlHg structure.

```
Ho2TlHg
1.0
3.730 0.000 0.000
1.865 3.230 0.000
1.865 1.077 9.423
Tl Ho Hg
1 2 1
Cartesian
3.730 2.153 4.707 Tl
1.865 1.077 7.170 Ho
1.865 1.077 2.265 Ho
5.594 3.230 9.415 Hg
```

Properties
Total DFT energy (no corrections) = -12.90 eV/f.u.
Total magnetization = 0.00 μB/f.u.
Volume = 28.38 Å³ per atom
ΔE_f = -1.07 eV per formula unit
Mass density = 10.8 g/cm³

16.
The following is a DFT calculation (PBE) of a geometry-optimized HfPaCr structure.

```
HfPaCr
1.0
-1.237 0.857 -2.948
1.270 -2.751 -1.333
-4.511 -1.674 3.264
Cr Hf Pa
1 1 1
Cartesian
-1.599 -1.889 -1.736 Cr
-0.102 -0.060 0.026 Hf
-2.776 -1.618 0.694 Pa
```

Properties
Total DFT energy (no corrections) = -28.63 eV/f.u.
Total magnetization = 0.00 μB/f.u.
Volume = 19.44 Å³ per atom
ΔE_f = 0.44 eV per formula unit
Polymorph energy (0 for the lowest one) = 2 meV per atom
Mass density = 13.1 g/cm³

17.
The following is a DFT calculation (PBE) of a geometry-optimized TcWAu2 structure.

```
TcWAu2
1.0
5.817 0.000 0.000
0.000 5.817 0.000
2.909 2.909 5.722
Tc Au W
2 4 2
Cartesian
2.909 2.909 0.000 Tc
2.909 5.817 2.861 Tc
7.271 7.261 4.291 Au
4.363 4.373 4.291 Au
4.353 1.454 1.430 Au
1.464 4.363 1.430 Au
0.000 0.000 0.000 W
5.817 2.909 2.861 W
```

Properties
Total DFT energy (no corrections) = -22.61 eV/f.u.
Total magnetization = 0.00 μB/f.u.
Volume = 24.20 Å³ per atom
ΔE_f = 7.26 eV per formula unit
Polymorph energy (0 for the lowest one) = 1561 meV per atom
Mass density = 11.6 g/cm³

18.
The following is a DFT calculation (PBE) of a geometry-optimized Tb5Al2In structure.

```
Tb5Al2In
1.0
7.862 0.000 0.000
0.000 7.862 0.000
-3.931 -3.931 7.246
Al Tb In
4 10 2
Cartesian
2.979 6.911 0.000 Al
0.952 2.979 0.000 Al
6.911 4.883 0.000 Al
4.883 0.952 0.000 Al
1.324 5.255 2.122 Tb
6.538 2.607 2.122 Tb
2.607 1.324 2.122 Tb
-2.607 1.324 5.124 Tb
5.255 6.538 2.122 Tb
0.000 0.000 0.000 Tb
2.607 -1.324 5.124 Tb
1.324 2.607 5.124 Tb
3.931 3.931 0.000 Tb
-1.324 -2.607 5.124 Tb
3.931 3.931 3.623 In
0.000 0.000 3.623 In
```

Properties
Total DFT energy (no corrections) = -36.04 eV/f.u.
Total magnetization = 0.00 μB/f.u.
Volume = 27.99 Å³ per atom
ΔE_f = -2.66 eV per formula unit
Mass density = 7.1 g/cm³

19.
The following is a DFT calculation (PBE) of a geometry-optimized Ce2ZnPb structure.

```
Ce2ZnPb
1.0
-1.632 -1.017 4.127
-0.191 -4.620 -1.214
4.458 -0.608 1.614
Ce Pb Zn
2 1 1
Cartesian
-0.095 -2.310 -0.607 Ce
2.229 -0.304 0.807 Ce
1.318 -3.122 2.263 Pb
-0.816 -0.509 2.063 Zn
```

Properties
Total DFT energy (no corrections) = -17.95 eV/f.u.
Total magnetization = 1.63 μB/f.u.
Volume = 26.01 Å³ per atom
ΔE_f = -1.10 eV per formula unit
Polymorph energy (0 for the lowest one) = 0 meV per atom
Mass density = 8.8 g/cm³

20.
The following is a DFT calculation (PBE) of a geometry-optimized MnV2Co structure.

```
MnV2Co
1.0
-1.801 -1.923 0.919
2.107 -1.832 0.298
-0.155 2.919 5.803
V Co Mn
2 1 1
Cartesian
-0.077 0.873 5.912 V
0.496 -1.112 2.883 V
0.539 1.202 3.572 Co
0.137 0.306 0.909 Mn
```

Properties
Total DFT energy (no corrections) = -34.47 eV/f.u.
Total magnetization = 0.00 μB/f.u.
Volume = 12.43 Å³ per atom
ΔE_f = 0.04 eV per formula unit
Mass density = 7.2 g/cm³

21.
The following is a DFT calculation (PBE) of a geometry-optimized NdDySnAu structure.

```
NdDySnAu
1.0
5.305 0.000 0.000
2.652 4.594 0.000
2.652 1.531 4.331
Nd Au Dy Sn
1 1 1 1
Cartesian
5.305 3.063 2.166 Nd
7.957 4.594 3.248 Au
0.000 0.000 0.000 Dy
2.652 1.531 1.083 Sn
```

Properties
Total DFT energy (no corrections) = -19.48 eV/f.u.
Total magnetization = 0.73 μB/f.u.
Volume = 26.39 Å³ per atom
ΔE_f = -2.83 eV per formula unit
Mass density = 9.8 g/cm³

22.
The following is a DFT calculation (PBE) of a geometry-optimized KNa2AsRh structure.

```
KNa2AsRh
1.0
5.516 0.000 0.000
0.000 5.516 0.000
0.000 0.000 4.667
Rh Na K As
1 2 1 1
Cartesian
0.000 0.000 0.000 Rh
0.000 2.758 0.000 Na
2.758 0.000 0.000 Na
2.758 2.758 2.334 K
0.000 0.000 2.334 As
```

Properties
Total DFT energy (no corrections) = -16.70 eV/f.u.
Total magnetization = 0.00 μB/f.u.
Volume = 28.40 Å³ per atom
ΔE_f = -0.96 eV per formula unit
Mass density = 3.1 g/cm³

23.
The following is a DFT calculation (PBE) of a geometry-optimized In2RuCl structure.

```
In2RuCl
1.0
-1.725 -2.709 -0.433
1.981 1.187 -2.274
7.524 -5.391 3.740
In Ru Cl
2 1 1
Cartesian
2.298 -2.316 -0.275 In
0.028 -0.020 0.014 In
3.878 -2.779 1.928 Ru
5.337 -4.494 1.236 Cl
```

Properties
Total DFT energy (no corrections) = -15.67 eV/f.u.
Total magnetization = 0.00 μB/f.u.
Volume = 22.10 Å³ per atom
Formation energy (no corrections) = 0.232 eV/atom
Polymorph energy (0 for the lowest one) = 523 meV per atom
Mass density = 6.9 g/cm³

24.
The following is a DFT calculation (PBE) of a geometry-optimized ZrHg2F structure.

```
ZrHg2F
1.0
4.730 0.865 0.653
1.474 2.745 3.720
2.344 -2.028 3.733
Hg Zr F
2 1 1
Cartesian
6.411 1.186 6.079 Hg
2.137 0.395 2.026 Hg
4.274 0.791 4.053 Zr
0.000 0.000 0.000 F
```

Properties
Total DFT energy (no corrections) = -12.25 eV/f.u.
Total magnetization = 0.00 μB/f.u.
Volume = 20.19 Å³ per atom
Formation energy (no corrections) = -0.308 eV/atom
Polymorph energy (0 for the lowest one) = 268 meV per atom
Mass density = 10.5 g/cm³

25.
The following is a DFT calculation (PBE) of a geometry-optimized Si3PdSe structure.

```
Si3PdSe
1.0
-3.133 2.228 2.717
-3.513 -2.062 -2.360
0.073 -3.598 3.034
Pd Se Si
1 1 3
Cartesian
0.000 0.000 0.000 Pd
-3.286 -1.716 1.696 Se
-1.566 1.114 1.359 Si
-1.756 -1.031 -1.180 Si
0.037 -1.799 1.517 Si
```

Properties
Total DFT energy (no corrections) = -22.48 eV/f.u.
Total magnetization = 0.00 μB/f.u.
Volume = 20.86 Å³ per atom
Formation energy (no corrections) = 0.493 eV/atom
Polymorph energy (0 for the lowest one) = 0 meV per atom
Mass density = 4.3 g/cm³